# YMo2Os

A geometry-optimized YMo2Os structure (PBE, Alexandria via LeMat-Bulk).

Summary:
The formation energy is 0.18 eV/atom. The space group is No. 99.

Cell: 3.219 3.219 6.955 Å, 90.00 90.00 90.00°
Fractional coordinates of all 4 atoms:
Mo  0.500  0.500  0.249
Os  0.000  0.000  0.466
Mo  0.000  0.000  0.039
Y  0.500  0.500  0.746

# K3TaRh

A geometry-optimized K3TaRh structure (PBE, Alexandria via LeMat-Bulk).

Summary:
The formation energy is 1.74 eV/atom. The space group is No. 221.

Cell: 5.936 5.936 5.936 Å, 90.00 90.00 90.00°
Fractional coordinates of all 5 atoms:
K  0.500  0.000  0.000
K  0.000  0.000  0.500
Ta  0.500  0.500  0.500
K  0.000  0.500  0.000
Rh  0.000  0.000  0.000

# Re2Hg3O8

A geometry-optimized Re2Hg3O8 structure (PBE, Alexandria via LeMat-Bulk).

Summary:
The space group is No. 166. For the uncorrected formation energy, the calculation gives -1093 meV/atom.

Cell: 6.500 6.500 9.623 Å, 70.26 70.26 60.00°
Fractional coordinates of all 13 atoms:
O  0.231  0.231  0.859
Re  0.360  0.360  0.921
O  0.705  0.705  0.885
Hg  0.836  0.836  0.491
O  0.321  0.769  0.141
Hg  0.164  0.164  0.509
O  0.295  0.295  0.115
O  0.769  0.321  0.141
Hg  0.000  0.000  0.000
O  0.231  0.679  0.859
Re  0.640  0.640  0.079
O  0.769  0.769  0.141
O  0.679  0.231  0.859

# RbTi3Co

A geometry-optimized RbTi3Co structure (PBE, Alexandria via LeMat-Bulk).

Summary:
The formation energy is 2.38 eV/atom. The space group is No. 221.

Cell: 4.612 4.612 4.612 Å, 90.00 90.00 90.00°
Fractional coordinates of all 5 atoms:
Ti  0.000  0.000  0.500
Ti  0.500  0.000  0.000
Co  0.500  0.500  0.500
Ti  0.000  0.500  0.000
Rb  0.000  0.000  0.000

# ErAlPd

A geometry-optimized ErAlPd structure (PBE, Alexandria via LeMat-Bulk).

Summary:
The formation energy is -0.48 eV/atom. The space group is No. 160.

Cell: 3.710 3.710 5.971 Å, 71.90 71.90 60.00°
Fractional coordinates of all 3 atoms:
Er  0.335  0.335  0.996
Pd  0.120  0.120  0.641
Al  0.531  0.531  0.407

# NaCa2MgRh

A geometry-optimized NaCa2MgRh structure (PBE, Alexandria via LeMat-Bulk).

Summary:
The formation energy is -0.18 eV/atom. The space group is No. 123.

Cell: 5.500 5.500 5.181 Å, 90.00 90.00 90.00°
Fractional coordinates of all 5 atoms:
Rh  0.000  0.000  0.000
Ca  0.500  0.000  0.000
Mg  0.000  0.000  0.500
Na  0.500  0.500  0.500
Ca  0.000  0.500  0.000

Number 1: V 72 Å³/f.u., VASP energy -9.66 eV per atom, total magnetization 0.00 μB per atom. Number 2: V 209 Å³/f.u., VASP energy -2.76 eV per atom, total magnetization 0.76 μB per atom. Number 3: V 324 Å³/f.u., VASP energy -6.13 eV per atom, total magnetization 0.00 μB per atom. Number 4: V 98 Å³/f.u., VASP energy -3.97 eV per atom, total magnetization 0.00 μB per atom. Number 5: V 66 Å³/f.u., VASP energy -4.97 eV per atom, total magnetization 0.00 μB per atom. Number 6: V 157 Å³/f.u., VASP energy -3.03 eV per atom, total magnetization 0.00 μB per atom.